Entry from Alexandria via LeMat-Bulk: a geometry-optimized CsGe2Au3 structure (PBE).

Unit cell a=4.9031 b=12.9466 c=5.0525 alpha=90.00 beta=90.00 gamma=90.00
With the nearest neighbours (Å) after each atom.
Sites, in units of the cell vectors:
Cs  0.2500  0.2500  0.1723  6 Au 3.45-3.65
Cs  0.7500  0.7500  0.8277  6 Au 3.45-3.65
Ge  0.2500  0.5530  0.3436  5 Au 2.55-2.70
Ge  0.2500  0.9470  0.3436  5 Au 2.55-2.70
Ge  0.7500  0.0530  0.6564  5 Au 2.55-2.70
Ge  0.7500  0.4470  0.6564  5 Au 2.55-2.70
Au  0.2500  0.0003  0.8370  4 Ge 2.59-2.70
Au  0.2500  0.4997  0.8370  4 Ge 2.59-2.70
Au  0.2500  0.7500  0.3485  2 Ge 2.55
Au  0.7500  0.9997  0.1630  4 Ge 2.59-2.70
Au  0.7500  0.2500  0.6515  2 Ge 2.55
Au  0.7500  0.5003  0.1630  4 Ge 2.59-2.70

For the formation energy, the calculation gives -21.6 kJ per mole of atoms.